(1)
Material: As2PW5
Method: DFT, PBE
State: relaxed

a b c (Å): 5.754 5.754 4.439
angles (deg): 90.00 90.00 90.00
Fractional positions:
W: 0.000 0.000 0.500
W: 0.716 0.716 0.000
W: 0.284 0.716 0.000
W: 0.284 0.284 0.000
W: 0.716 0.284 0.000
P: 0.000 0.000 0.000
As: 0.500 0.000 0.500
As: 0.000 0.500 0.500

## Properties
Its crystal system is tetragonal. As for the total energy: -9.0421 eV/atom. Its magnetization is 0.001 μB/atom.

(2)
Material: Dy2Y2Tm2LuNi2Te2
Method: DFT, PBE
State: relaxed

a b c (Å): 9.310 9.310 9.310
angles (deg): 156.29 66.96 118.41
Fractional positions:
Y: 0.027 0.895 0.131
Y: 0.764 0.895 0.869
Te: 0.142 0.142 0.000
Te: 0.741 0.241 0.500
Dy: 0.781 0.096 0.685
Dy: 0.412 0.096 0.315
Ni: 0.167 0.405 0.763
Ni: 0.642 0.405 0.237
Lu: 0.477 0.477 0.000
Tm: 0.393 0.747 0.646
Tm: 0.101 0.747 0.354

## Properties
Its crystal system is orthorhombic. The excess energy over the best structure of this formula in the dataset comes out at 0.011 eV/atom. Its magnetization is 0.001 μB/atom.

(3)
Material: NbGaFeRe
Method: DFT, PBE
State: relaxed

a b c (Å): 4.350 4.350 4.350
angles (deg): 60.00 60.00 60.00
Fractional positions:
Nb: 0.500 0.500 0.500
Ga: 0.000 0.000 0.000
Fe: 0.750 0.750 0.750
Re: 0.250 0.250 0.250

## Properties
Its crystal system is cubic. The excess energy over the best structure of this formula in the dataset comes out at 0.000 eV/atom. Its magnetization is 0.230 μB/atom.

(4)
Material: LiTcAuO3
Method: DFT, PBE
State: relaxed

a b c (Å): 2.800 7.321 13.379
angles (deg): 90.00 90.00 90.00
Fractional positions:
O: 0.250 0.303 0.858
O: 0.750 0.333 0.216
O: 0.750 0.697 0.142
O: 0.250 0.833 0.284
O: 0.250 0.197 0.358
O: 0.250 0.020 0.103
O: 0.750 0.520 0.397
O: 0.250 0.480 0.603
O: 0.750 0.803 0.642
O: 0.750 0.167 0.716
O: 0.250 0.667 0.784
O: 0.750 0.980 0.897
Au: 0.750 0.409 0.072
Au: 0.250 0.909 0.428
Au: 0.750 0.091 0.572
Au: 0.250 0.591 0.928
Li: 0.250 0.936 0.756
Li: 0.750 0.436 0.744
Li: 0.750 0.064 0.244
Li: 0.250 0.564 0.256
Tc: 0.250 0.144 0.960
Tc: 0.750 0.856 0.040
Tc: 0.750 0.644 0.540
Tc: 0.250 0.356 0.460

## Properties
Its crystal system is orthorhombic. As for the total energy: -5.7683 eV/atom. Its magnetization is 0.071 μB/atom.

(5)
Material: ScPd2Au
Method: DFT, PBE
State: relaxed

a b c (Å): 4.589 4.589 4.589
angles (deg): 60.00 60.00 60.00
Fractional positions:
Sc: 0.500 0.500 0.500
Au: 0.250 0.250 0.250
Pd: 0.750 0.750 0.750
Pd: 0.000 0.000 0.000

## Properties
Its crystal system is cubic. The excess energy over the best structure of this formula in the dataset comes out at 0.176 eV/atom. Its magnetization is 0.000 μB/atom. As for the energy relative to the elements: -0.66 eV per atom.

(6)
Material: PmBeMo
Method: DFT, PBE
State: relaxed

a b c (Å): 4.671 4.671 4.671
angles (deg): 60.00 60.00 60.00
Fractional positions:
Pm: 0.000 0.000 0.000
Be: 0.250 0.250 0.250
Mo: 0.750 0.750 0.750

## Properties
Its crystal system is cubic. The excess energy over the best structure of this formula in the dataset comes out at 0.869 eV/atom. Its magnetization is 0.983 μB/atom.

(7)
Material: CsZrTa
Method: DFT, PBE
State: relaxed

a b c (Å): 5.057 5.057 5.057
angles (deg): 60.00 60.00 60.00
Fractional positions:
Zr: 0.750 0.750 0.750
Cs: 0.250 0.250 0.250
Ta: 0.000 0.000 0.000

## Properties
Its crystal system is cubic. The excess energy over the best structure of this formula in the dataset comes out at 0.000 eV/atom. Its magnetization is 0.569 μB/atom.

(8)
Material: BaHgO3
Method: DFT, PBE
State: relaxed

a b c (Å): 4.521 4.521 4.902
angles (deg): 90.00 90.00 90.00
Fractional positions:
O: 0.500 0.500 0.024
O: 0.000 0.500 0.761
O: 0.500 0.000 0.761
Hg: 0.000 0.000 0.842
Ba: 0.500 0.500 0.512

## Properties
Its crystal system is tetragonal. As for the total energy: -3.8341 eV/atom.

Calculated volume in A^3/atom, matching the order above: 18.4; 25.7; 14.5; 11.4; 17.1; 24.0; 30.5; 20.0